[1]
# ZrZnCd SCAN PBEsol geometry
data_ZrZnCd
_space_group_name_H-M_alt 'P 1'
_space_group_IT_number 1
_cell_length_a 6.3170
_cell_length_b 6.3170
_cell_length_c 6.3170
_cell_angle_alpha 152.10
_cell_angle_beta 152.10
_cell_angle_gamma 39.87
loop_
_space_group_symop_operation_xyz
'x,y,z'
loop_
_atom_site_label
_atom_site_type_symbol
_atom_site_fract_x
_atom_site_fract_y
_atom_site_fract_z
_atom_site_occupancy
Zr1 Zr 0.0000 0.0000 0.0000 1
Zn1 Zn 0.3436 0.3436 0.0000 1
Cd1 Cd 0.6902 0.6902 0.0000 1
# **Calculated total energy**: -25.1021 eV/atom
# **Magnetic moment**: 0.000 μB per formula unit
# **Crystal system**: tetragonal

***

[2]
# ZrZnCd2 SCAN PBEsol geometry
data_ZrZnCd2
_space_group_name_H-M_alt 'P 1'
_space_group_IT_number 1
_cell_length_a 5.9288
_cell_length_b 5.9288
_cell_length_c 5.9288
_cell_angle_alpha 151.99
_cell_angle_beta 126.40
_cell_angle_gamma 61.56
loop_
_space_group_symop_operation_xyz
'x,y,z'
loop_
_atom_site_label
_atom_site_type_symbol
_atom_site_fract_x
_atom_site_fract_y
_atom_site_fract_z
_atom_site_occupancy
Zr1 Zr 0.0000 0.0000 0.0000 1
Zn1 Zn 0.7560 0.2560 0.5000 1
Cd1 Cd 0.2662 0.7662 0.5000 1
Cd2 Cd 0.5217 0.5217 0.0000 1
# **Calculated total energy**: -26.2623 eV/atom
# **Magnetic moment**: 0.000 μB per formula unit
# **Crystal system**: orthorhombic

***

[3]
# ZrZnCd2 SCAN PBEsol geometry
data_ZrZnCd2
_space_group_name_H-M_alt 'P 1'
_space_group_IT_number 1
_cell_length_a 3.0750
_cell_length_b 3.0750
_cell_length_c 7.9518
_cell_angle_alpha 90.00
_cell_angle_beta 90.00
_cell_angle_gamma 90.00
loop_
_space_group_symop_operation_xyz
'x,y,z'
loop_
_atom_site_label
_atom_site_type_symbol
_atom_site_fract_x
_atom_site_fract_y
_atom_site_fract_z
_atom_site_occupancy
Zr1 Zr 0.0000 0.0000 0.0000 1
Zn1 Zn 0.5000 0.5000 0.2301 1
Cd1 Cd 0.0000 0.0000 0.4541 1
Cd2 Cd 0.5000 0.5000 0.7205 1
# **Calculated total energy**: -26.4412 eV/atom
# **Magnetic moment**: 0.000 μB per formula unit
# **Crystal system**: tetragonal

***

[4]
# Zr5Cd SCAN PBEsol geometry
data_Zr5Cd
_space_group_name_H-M_alt 'P 1'
_space_group_IT_number 1
_cell_length_a 5.4112
_cell_length_b 5.4112
_cell_length_c 5.1436
_cell_angle_alpha 90.00
_cell_angle_beta 90.00
_cell_angle_gamma 120.00
loop_
_space_group_symop_operation_xyz
'x,y,z'
loop_
_atom_site_label
_atom_site_type_symbol
_atom_site_fract_x
_atom_site_fract_y
_atom_site_fract_z
_atom_site_occupancy
Zr1 Zr 0.0000 0.3247 0.0000 1
Zr2 Zr 0.3247 0.0000 0.0000 1
Zr3 Zr 0.3333 0.6667 0.5000 1
Zr4 Zr 0.6667 0.3333 0.5000 1
Zr5 Zr 0.6753 0.6753 0.0000 1
Cd1 Cd 0.0000 0.0000 0.5000 1
# **Calculated total energy**: -30.6695 eV/atom
# **Offset from the most stable computed form**: 41.5 meV/atom
# **Magnetic moment**: 0.000 μB per formula unit
# **Crystal system**: hexagonal